Entry 1:
Mg2NpCuO8: optimized geometry, GGA-PBE.

Cell lengths 4.755, 4.755, 6.552 Å; angles 96.23, 96.23, 85.44 degrees
Positions (direct):
Mg 0.025 0.025 0.261
Mg 0.975 0.975 0.739
Np 0.500 0.500 0.000
Cu 0.500 0.500 0.500
O 0.199 0.801 0.000
O 0.214 0.786 0.500
O 0.281 0.281 0.793
O 0.322 0.322 0.265
O 0.678 0.678 0.735
O 0.719 0.719 0.207
O 0.786 0.214 0.500
O 0.801 0.199 0.000

Space group: C2/m (12)
N(E_F), states/eV/cell: 6.129

---

Entry 2:
MgNpCuO6: optimized geometry, GGA-PBE.

Cell lengths 5.162, 5.162, 9.300 Å; angles 90.00, 90.00, 120.00 degrees
Positions (direct):
Mg 0.000 0.000 0.000
Mg 0.000 0.000 0.500
Np 0.333 0.667 0.250
Np 0.667 0.333 0.750
Cu 0.333 0.667 0.750
Cu 0.667 0.333 0.250
O 0.001 0.343 0.132
O 0.001 0.658 0.368
O 0.342 0.343 0.368
O 0.342 0.999 0.132
O 0.343 0.001 0.632
O 0.343 0.342 0.868
O 0.657 0.658 0.132
O 0.657 0.999 0.368
O 0.658 0.001 0.868
O 0.658 0.657 0.632
O 0.999 0.342 0.632
O 0.999 0.657 0.868

Space group: P-31c (163)

---

Entry 3:
MgNpCu2O8: optimized geometry, GGA-PBE.

Cell lengths 5.742, 5.742, 5.742 Å; angles 110.31, 110.31, 107.80 degrees
Positions (direct):
Mg 0.000 0.000 0.000
Np 0.250 0.750 0.500
Cu 0.500 0.500 0.000
Cu 0.750 0.250 0.500
O 0.297 0.098 0.801
O 0.297 0.496 0.199
O 0.367 0.047 0.320
O 0.504 0.703 0.801
O 0.727 0.047 0.680
O 0.902 0.703 0.199
O 0.953 0.273 0.320
O 0.953 0.633 0.680

Space group: I-4m2 (119)
N(E_F), states/eV/cell: 9.394

---

Entry 4:
MgCu3O: optimized geometry, GGA-PBE.

Cell lengths 4.509, 4.509, 4.509 Å; angles 90.00, 90.00, 90.00 degrees
Positions (direct):
Mg 0.000 0.000 0.000
Cu 0.000 0.000 0.500
Cu 0.000 0.500 0.000
Cu 0.500 0.000 0.000
O 0.500 0.500 0.500

Space group: Pm-3m (221)
Energy above the lowest structure with this stoichiometry, eV/f.u.: 7.02
N(E_F), states/eV/cell: 2.584

---

Entry 5:
Mg5CuO6: optimized geometry, GGA-PBE.

Cell lengths 5.182, 5.182, 5.320 Å; angles 101.20, 101.20, 118.28 degrees
Positions (direct):
Mg 0.000 0.000 0.000
Mg 0.164 0.836 0.500
Mg 0.338 0.662 0.000
Mg 0.662 0.338 0.000
Mg 0.836 0.164 0.500
Cu 0.500 0.500 0.500
O 0.090 0.424 0.253
O 0.232 0.232 0.766
O 0.424 0.090 0.253
O 0.576 0.910 0.747
O 0.768 0.768 0.234
O 0.910 0.576 0.747

Space group: C2/m (12)
N(E_F), states/eV/cell: 1.970

---

Entry 6:
MgCu3O: optimized geometry, GGA-PBE.

Cell lengths 4.091, 4.091, 4.091 Å; angles 90.00, 90.00, 90.00 degrees
Positions (direct):
Mg 0.000 0.000 0.000
Cu 0.000 0.500 0.500
Cu 0.500 0.000 0.500
Cu 0.500 0.500 0.000
O 0.500 0.500 0.500

Space group: Pm-3m (221)
Energy above the lowest structure with this stoichiometry, eV/f.u.: 0.00
N(E_F), states/eV/cell: 3.646

---

Entry 7:
Mg4CuO5: optimized geometry, GGA-PBE.

Cell lengths 10.844, 10.844, 10.844 Å; angles 164.06, 164.06, 22.62 degrees
Positions (direct):
Mg 0.099 0.099 0.000
Mg 0.300 0.300 0.000
Mg 0.700 0.700 0.000
Mg 0.901 0.901 0.000
Cu 0.500 0.500 0.000
O 0.000 0.000 0.000
O 0.200 0.200 0.000
O 0.400 0.400 0.000
O 0.600 0.600 0.000
O 0.800 0.800 0.000

Space group: I4/mmm (139)
Energy above the lowest structure with this stoichiometry, eV/f.u.: 0.00
N(E_F), states/eV/cell: 2.217

---

Entry 8:
Mg7Cu2O9: optimized geometry, GGA-PBE.

Cell lengths 7.967, 7.967, 7.364 Å; angles 90.15, 90.15, 21.80 degrees
Positions (direct):
Mg 0.000 0.000 0.000
Mg 0.224 0.224 0.670
Mg 0.334 0.334 0.997
Mg 0.444 0.444 0.334
Mg 0.556 0.556 0.666
Mg 0.666 0.666 0.003
Mg 0.776 0.776 0.330
Cu 0.111 0.111 0.334
Cu 0.889 0.889 0.666
O 0.000 0.000 0.500
O 0.111 0.111 0.834
O 0.224 0.224 0.164
O 0.332 0.332 0.496
O 0.446 0.446 0.836
O 0.554 0.554 0.164
O 0.668 0.668 0.504
O 0.776 0.776 0.836
O 0.889 0.889 0.166

Space group: C2/m (12)
N(E_F), states/eV/cell: 4.303

---

Entry 9:
Mg4CuO5: optimized geometry, GGA-PBE.

Cell lengths 7.968, 7.968, 7.968 Å; angles 158.16, 149.14, 38.13 degrees
Positions (direct):
Mg 0.099 0.099 0.000
Mg 0.299 0.299 0.000
Mg 0.701 0.701 0.000
Mg 0.901 0.901 0.000
Cu 0.500 0.500 0.000
O 0.000 0.500 0.500
O 0.200 0.700 0.500
O 0.398 0.898 0.500
O 0.602 0.102 0.500
O 0.800 0.300 0.500

Space group: Immm (71)
Energy above the lowest structure with this stoichiometry, eV/f.u.: 0.14
N(E_F), states/eV/cell: 4.452

---

Entry 10:
MgCuO: optimized geometry, GGA-PBE.

Cell lengths 8.120, 8.120, 8.120 Å; angles 24.16, 24.16, 24.16 degrees
Positions (direct):
Mg 0.119 0.119 0.119
Mg 0.881 0.881 0.881
Cu 0.303 0.303 0.303
Cu 0.697 0.697 0.697
O 0.212 0.212 0.212
O 0.788 0.788 0.788

Space group: R-3m (166)
N(E_F), states/eV/cell: 0.623

---

Entry 11:
MgCu3O4: optimized geometry, GGA-PBE.

Cell lengths 4.047, 18.929, 3.243 Å; angles 90.00, 90.00, 90.00 degrees
Positions (direct):
Mg 0.000 0.000 0.000
Mg 0.500 0.250 0.773
Mg 0.500 0.750 0.773
Cu 0.000 0.168 0.225
Cu 0.000 0.332 0.223
Cu 0.000 0.500 0.037
Cu 0.000 0.668 0.223
Cu 0.000 0.832 0.225
Cu 0.500 0.082 0.545
Cu 0.500 0.418 0.569
Cu 0.500 0.582 0.569
Cu 0.500 0.918 0.545
O 0.000 0.076 0.492
O 0.000 0.250 0.879
O 0.000 0.422 0.513
O 0.000 0.578 0.513
O 0.000 0.750 0.879
O 0.000 0.924 0.492
O 0.500 0.000 0.891
O 0.500 0.174 0.279
O 0.500 0.327 0.291
O 0.500 0.500 0.904
O 0.500 0.673 0.291
O 0.500 0.826 0.279

Space group: Pmm2 (25)
N(E_F), states/eV/cell: 16.364

---

Entry 12:
Mg2CuO3: optimized geometry, GGA-PBE.

Cell lengths 5.178, 5.178, 5.418 Å; angles 90.00, 90.00, 120.00 degrees
Positions (direct):
Mg 0.333 0.667 0.000
Mg 0.333 0.667 0.500
Mg 0.667 0.333 0.000
Mg 0.667 0.333 0.500
Cu 0.000 0.000 0.250
Cu 0.000 0.000 0.750
O 0.000 0.369 0.250
O 0.000 0.631 0.750
O 0.369 0.000 0.250
O 0.369 0.369 0.750
O 0.631 0.000 0.750
O 0.631 0.631 0.250

Space group: P6_3/mcm (193)
Energy above the lowest structure with this stoichiometry, eV/f.u.: 0.43
N(E_F), states/eV/cell: 10.631

---

Entry 13:
Mg9CuO10: optimized geometry, GGA-PBE.

Cell lengths 6.714, 6.714, 9.992 Å; angles 101.53, 101.53, 25.96 degrees
Positions (direct):
Mg 0.000 0.000 0.000
Mg 0.099 0.099 0.301
Mg 0.197 0.197 0.600
Mg 0.300 0.300 0.899
Mg 0.400 0.400 0.198
Mg 0.600 0.600 0.802
Mg 0.700 0.700 0.101
Mg 0.803 0.803 0.400
Mg 0.901 0.901 0.699
Cu 0.500 0.500 0.500
O 0.051 0.051 0.656
O 0.150 0.150 0.951
O 0.250 0.250 0.250
O 0.349 0.349 0.550
O 0.450 0.450 0.850
O 0.550 0.550 0.150
O 0.651 0.651 0.450
O 0.750 0.750 0.750
O 0.850 0.850 0.049
O 0.949 0.949 0.344

Space group: C2/m (12)
N(E_F), states/eV/cell: 5.518

---

Entry 14:
Mg2CuO3: optimized geometry, GGA-PBE.

Cell lengths 5.231, 5.231, 5.231 Å; angles 146.12, 133.06, 59.14 degrees
Positions (direct):
Mg 0.165 0.165 0.000
Mg 0.835 0.835 0.000
Cu 0.500 0.500 0.000
O 0.000 0.500 0.500
O 0.328 0.828 0.500
O 0.672 0.172 0.500

Space group: Immm (71)
Energy above the lowest structure with this stoichiometry, eV/f.u.: 0.00
N(E_F), states/eV/cell: 3.400

---

Entry 15:
Mg2CuO: optimized geometry, GGA-PBE.

Cell lengths 5.510, 5.510, 5.510 Å; angles 113.98, 113.98, 100.78 degrees
Positions (direct):
Mg 0.032 0.625 0.907
Mg 0.375 0.282 0.407
Mg 0.718 0.125 0.093
Mg 0.875 0.968 0.593
Cu 0.250 0.750 0.500
Cu 0.500 0.500 0.000
O 0.000 0.000 0.000
O 0.750 0.250 0.500

Space group: I-42d (122)
N(E_F), states/eV/cell: 2.470

---

Entry 16:
MgCu2P2O6: optimized geometry, GGA-PBE.

Cell lengths 5.119, 5.119, 5.888 Å; angles 90.00, 90.00, 120.00 degrees
Positions (direct):
Mg 0.000 0.000 0.000
Cu 0.333 0.667 0.673
Cu 0.667 0.333 0.327
P 0.333 0.667 0.295
P 0.667 0.333 0.705
O 0.058 0.365 0.207
O 0.307 0.942 0.207
O 0.365 0.307 0.793
O 0.635 0.693 0.207
O 0.693 0.058 0.793
O 0.942 0.635 0.793

Space group: P-3 (147)
N(E_F), states/eV/cell: 4.778

---

Entry 17:
MgCuP2O7: optimized geometry, GGA-PBE.

Cell lengths 5.396, 6.401, 7.557 Å; angles 81.20, 88.49, 71.82 degrees
Positions (direct):
Mg 0.168 0.341 0.355
Mg 0.832 0.659 0.645
Cu 0.224 0.842 0.821
Cu 0.776 0.158 0.179
P 0.273 0.801 0.378
P 0.325 0.310 0.909
P 0.675 0.690 0.091
P 0.727 0.199 0.622
O 0.104 0.650 0.429
O 0.105 0.047 0.322
O 0.148 0.546 0.830
O 0.203 0.132 0.889
O 0.405 0.727 0.194
O 0.410 0.305 0.105
O 0.479 0.780 0.517
O 0.521 0.220 0.483
O 0.590 0.695 0.895
O 0.595 0.273 0.806
O 0.797 0.868 0.111
O 0.852 0.454 0.170
O 0.895 0.953 0.678
O 0.896 0.350 0.571

Space group: P-1 (2)
Energy above the lowest structure with this stoichiometry, eV/f.u.: 0.01

---

Entry 18:
MgCuP2O7: optimized geometry, GGA-PBE.

Cell lengths 6.961, 8.312, 9.159 Å; angles 90.00, 111.88, 90.00 degrees
Positions (direct):
Mg 0.235 0.069 0.107
Mg 0.235 0.431 0.607
Mg 0.765 0.569 0.393
Mg 0.765 0.931 0.893
Cu 0.281 0.057 0.655
Cu 0.281 0.443 0.155
Cu 0.719 0.557 0.845
Cu 0.719 0.943 0.345
P 0.053 0.730 0.737
P 0.053 0.770 0.237
P 0.452 0.726 0.024
P 0.452 0.774 0.524
P 0.548 0.226 0.476
P 0.548 0.274 0.976
P 0.947 0.230 0.763
P 0.947 0.270 0.263
O 0.015 0.597 0.614
O 0.015 0.903 0.114
O 0.101 0.607 0.185
O 0.101 0.893 0.685
O 0.127 0.241 0.702
O 0.127 0.259 0.202
O 0.246 0.663 0.887
O 0.246 0.837 0.387
O 0.379 0.234 0.548
O 0.379 0.266 0.048
O 0.419 0.612 0.585
O 0.419 0.888 0.085
O 0.498 0.590 0.149
O 0.498 0.910 0.649
O 0.502 0.090 0.351
O 0.502 0.410 0.851
O 0.581 0.112 0.915
O 0.581 0.388 0.415
O 0.621 0.734 0.952
O 0.621 0.766 0.452
O 0.754 0.163 0.613
O 0.754 0.337 0.113
O 0.873 0.741 0.798
O 0.873 0.759 0.298
O 0.899 0.107 0.315
O 0.899 0.393 0.815
O 0.985 0.097 0.886
O 0.985 0.403 0.386

Space group: P2_1/c (14)
Energy above the lowest structure with this stoichiometry, eV/f.u.: 0.00

---

What did we get for raw formation energy? Answer: -1.766, -1.885, -1.249, 1.410, -2.300, 0.006, -2.243, -2.174, -2.229, -1.383, -1.045, -1.842, -2.460, -1.914, -0.990, -1.633, -2.067, -2.068 eV per atom, in the order shown.